The following is a GGA-PBE calculation of KRb2BiI6 after structural relaxation, from Alexandria via LeMat-Bulk.

Properties
The magnetic moment is 0.000 μB per formula unit. The polymorph energy (0 for the lowest one) is 0.000 eV per atom. The volume is 49.72 A^3/atom. The formation energy without anion corrections is -1.08 eV per atom. For the calculated density, the calculation gives 3.94 g/cm³. The crystal system is monoclinic.

Cell lengths 8.697, 9.263, 12.348 Å; angles 90.00, 88.26, 90.00 degrees
Fractional positions:
K: 0.500 0.000 0.000
K: 0.000 0.500 0.500
Rb: 0.033 0.916 0.256
Rb: 0.533 0.584 0.756
Rb: 0.967 0.084 0.744
Rb: 0.467 0.416 0.244
Bi: 0.500 0.000 0.500
Bi: 0.000 0.500 0.000
I: 0.289 0.681 0.055
I: 0.789 0.819 0.555
I: 0.711 0.319 0.945
I: 0.211 0.181 0.445
I: 0.330 0.719 0.431
I: 0.830 0.781 0.931
I: 0.670 0.281 0.569
I: 0.170 0.219 0.069
I: 0.872 0.545 0.235
I: 0.372 0.955 0.735
I: 0.128 0.455 0.765
I: 0.628 0.045 0.265


The following is a GGA-PBE calculation of Pm2Nb2Ni15 after structural relaxation, from Alexandria via LeMat-Bulk.

Properties
The magnetic moment is 0.014 μB per formula unit. The volume is 13.52 A^3/atom. The calculation puts the raw total energy at -120.72 eV per cell. For the calculated density, the calculation gives 8.76 g/cm³. The crystal system is trigonal.

Cell lengths 6.411, 6.411, 6.411 Å; angles 82.29, 82.29, 82.29 degrees
Fractional positions:
Pm: 0.349 0.349 0.349
Pm: 0.651 0.651 0.651
Nb: 0.101 0.101 0.101
Nb: 0.899 0.899 0.899
Ni: 0.500 0.000 0.000
Ni: 0.000 0.000 0.500
Ni: 0.000 0.500 0.000
Ni: 0.000 0.701 0.299
Ni: 0.701 0.299 0.000
Ni: 0.299 0.000 0.701
Ni: 0.299 0.701 0.000
Ni: 0.701 0.000 0.299
Ni: 0.000 0.299 0.701
Ni: 0.156 0.656 0.656
Ni: 0.656 0.656 0.156
Ni: 0.656 0.156 0.656
Ni: 0.844 0.344 0.344
Ni: 0.344 0.344 0.844
Ni: 0.344 0.844 0.344


The following is a GGA-PBE calculation of Li2PuMgSe4 after structural relaxation, from Alexandria via LeMat-Bulk.

Properties
The magnetic moment is 4.000 μB per formula unit. The volume is 22.06 A^3/atom. The formation energy without anion corrections is -1.24 eV per atom. For the calculated density, the calculation gives 5.63 g/cm³. The crystal system is monoclinic.

Cell lengths 4.028, 6.806, 6.831 Å; angles 109.50, 90.00, 90.00 degrees
Fractional positions:
Li: 0.500 0.000 0.500
Li: 0.000 0.500 0.500
Pu: 0.500 0.500 0.000
Mg: 0.000 0.000 0.000
Se: 0.500 0.243 0.243
Se: 0.500 0.757 0.757
Se: 0.000 0.247 0.747
Se: 0.000 0.753 0.253


The following is a GGA-PBE calculation of Al2SbPb after structural relaxation, from Alexandria via LeMat-Bulk.

Properties
The magnetic moment is 0.000 μB per formula unit. The polymorph energy (0 for the lowest one) is 0.066 eV per atom. The volume is 24.28 A^3/atom. The formation energy without anion corrections is 0.19 eV per atom. For the calculated density, the calculation gives 6.55 g/cm³. The crystal system is monoclinic.

Cell lengths 5.815, 5.815, 6.162 Å; angles 64.39, 64.39, 31.44 degrees
Fractional positions:
Pb: 0.448 0.448 0.585
Sb: 0.297 0.297 0.186
Al: 0.061 0.061 0.071
Al: 0.694 0.694 0.658